The following is a DFT calculation (GGA-PBE) of a geometry-optimized Be2AgMo structure.

Results
Energy of formation from the pure elements = 450 meV per atom
N(E_F) = 2.029 states/eV/cell
E above lowest polymorph = 31.3 kJ per mole of atoms

Cell: 8.5798 8.5798 8.5798 Å, 18.12 18.12 18.12°
Closest atoms and distances in Å follow each position.
Fractional positions:
Be: 0.9929 0.9929 0.9929  3 Be 2.35, 3 Ag 2.59
Be: 0.2568 0.2568 0.2568  3 Be 2.35, 3 Mo 2.58
Mo: 0.5091 0.5091 0.5091  3 Be 2.58, 6 Mo 2.70
Ag: 0.7413 0.7413 0.7413  3 Be 2.59, 6 Ag 2.70